Entry 1:
## LiMgUIr (PBE-GGA)

Data for a relaxed structure of LiMgUIr.

The energy is -5.996 eV/atom. The value obtained for the energy relative to the elements is -0.33 eV/f.u. The value obtained for the magnetization is 9.20 Bohr magnetons per cell. The value obtained for the density of states at the Fermi level is 35.17 states/eV/cell. The mass density is 10.376 g/cm3. The value obtained for the volume is 295.4 Å³/cell.

a b c (Å): 6.660 6.660 6.660
angles (deg): 90.00 90.00 90.00
Space group F-43m (No. 216)
Unique sites:
Li  0.000  0.000  0.000
Mg  0.250  0.250  0.750
U  0.250  0.250  0.250
Ir  0.000  0.000  0.500

Entry 2:
## LiMgVIr (PBE-GGA)

Data for a relaxed structure of LiMgVIr.

The energy is -5.591 eV/atom. The value obtained for the energy relative to the elements is -0.88 eV/f.u. The value obtained for the magnetization is 2.94 Bohr magnetons per cell. The value obtained for the density of states at the Fermi level is 14.72 states/eV/cell. The mass density is 7.924 g/cm3. The value obtained for the volume is 230.0 Å³/cell.

a b c (Å): 6.127 6.127 6.127
angles (deg): 90.00 90.00 90.00
Space group F-43m (No. 216)
Unique sites:
Li  0.000  0.000  0.000
Mg  0.250  0.250  0.750
V  0.250  0.250  0.250
Ir  0.000  0.000  0.500